# 1
# Tl2Ag2Te

A geometry-optimized Tl2Ag2Te structure (PBE, Alexandria).

Unit cell a=9.0519 b=9.0519 c=3.1703 alpha=90.00 beta=90.00 gamma=90.00
Sites, in units of the cell vectors:
Tl  0.6894  0.1894  0.0000
Tl  0.1894  0.3106  0.0000
Tl  0.8106  0.6894  0.0000
Tl  0.3106  0.8106  0.0000
Ag  0.6080  0.8920  0.5000
Ag  0.1080  0.6080  0.5000
Ag  0.3920  0.1080  0.5000
Ag  0.8920  0.3920  0.5000
Te  0.0000  0.0000  0.0000
Te  0.5000  0.5000  0.0000

Space-group type   No. 127
Magnetic moment   0.00 μB per formula unit
Raw formation energy   14.0 kJ/mol of atoms
DOS at the Fermi energy   0.412 states/eV per atom
Relative energy among the computed polymorphs   79.2 kJ/mol of formula units

***

# 2
# Tl2AgTe

A geometry-optimized Tl2AgTe structure (PBE, Alexandria).

Unit cell a=3.2859 b=3.2859 c=10.4843 alpha=90.00 beta=90.00 gamma=94.57
Sites, in units of the cell vectors:
Tl  0.0000  0.0000  0.4673
Tl  0.0000  0.0000  0.0327
Ag  0.5000  0.5000  0.2500
Te  0.5000  0.5000  0.7500

Space-group type   No. 65
Magnetic moment   0.00 μB per formula unit
Raw formation energy   8.2 kJ/mol of atoms
DOS at the Fermi energy   0.289 states/eV per atom
Relative energy among the computed polymorphs   60.8 kJ/mol of formula units

***

# 3
# Tl2AgTe

A geometry-optimized Tl2AgTe structure (PBE, Alexandria).

Unit cell a=4.4890 b=3.3196 c=7.8460 alpha=78.08 beta=90.00 gamma=90.00
Sites, in units of the cell vectors:
Tl  0.0000  0.9380  0.0002
Tl  0.5000  0.2877  0.2954
Te  0.5000  0.5795  0.7229
Ag  0.0000  0.6949  0.4815

Space-group type   No. 6
Magnetic moment   0.00 μB per formula unit
Raw formation energy   -1.0 kJ/mol of atoms
DOS at the Fermi energy   0.368 states/eV per atom
Relative energy among the computed polymorphs   23.7 kJ/mol of formula units

***

# 4
# TlAg2Te

A geometry-optimized TlAg2Te structure (PBE, Alexandria).

Unit cell a=4.6482 b=4.6482 c=6.5203 alpha=70.83 beta=70.83 gamma=56.37
Sites, in units of the cell vectors:
Te  0.4810  0.4810  0.5963
Tl  0.2543  0.2543  0.2066
Ag  0.0151  0.0151  0.9389
Ag  0.7497  0.7497  0.7582

Space-group type   No. 8
Magnetic moment   0.00 μB per formula unit
Raw formation energy   4.3 kJ/mol of atoms
DOS at the Fermi energy   0.362 states/eV per atom
Relative energy among the computed polymorphs   6.7 kJ/mol of formula units

***

# 5
# Tl3Ag4Te4

A geometry-optimized Tl3Ag4Te4 structure (PBE, Alexandria).

Unit cell a=5.0505 b=7.6008 c=9.2387 alpha=114.29 beta=105.86 gamma=90.00
Sites, in units of the cell vectors:
Ag  0.3255  0.5208  0.6510
Ag  0.6745  0.8698  0.3490
Ag  0.6745  0.4792  0.3490
Ag  0.3255  0.1302  0.6510
Te  0.5000  0.7879  0.0000
Te  0.5000  0.2121  0.0000
Te  0.2161  0.7161  0.4322
Te  0.7839  0.2839  0.5678
Tl  0.1192  0.1192  0.2385
Tl  0.0000  0.5000  0.0000
Tl  0.8808  0.8808  0.7615

Space-group type   No. 71
Magnetic moment   0.00 μB per formula unit
Raw formation energy   -13.5 kJ/mol of atoms
DOS at the Fermi energy   0.253 states/eV per atom
Relative energy among the computed polymorphs   0.0 kJ/mol of formula units

***

# 6
# Tl2AgTe

A geometry-optimized Tl2AgTe structure (PBE, Alexandria).

Unit cell a=3.9408 b=3.9408 c=7.5067 alpha=90.00 beta=90.00 gamma=90.00
Sites, in units of the cell vectors:
Tl  0.0000  0.0000  0.9736
Tl  0.5000  0.5000  0.2777
Te  0.5000  0.5000  0.7026
Ag  0.0000  0.0000  0.5461

Space-group type   No. 99
Magnetic moment   0.00 μB per formula unit
Raw formation energy   0.7 kJ/mol of atoms
DOS at the Fermi energy   0.558 states/eV per atom
Relative energy among the computed polymorphs   30.7 kJ/mol of formula units

***

# 7
# Tl3AgTe4

A geometry-optimized Tl3AgTe4 structure (PBE, Alexandria).

Unit cell a=5.4428 b=4.5942 c=12.6651 alpha=71.40 beta=102.40 gamma=90.00
Sites, in units of the cell vectors:
Tl  0.1820  0.0686  0.3640
Tl  0.0000  0.5000  0.0000
Tl  0.8180  0.9314  0.6360
Ag  0.5000  0.0000  0.0000
Te  0.6901  0.5564  0.3802
Te  0.5851  0.4469  0.1702
Te  0.4149  0.5531  0.8298
Te  0.3099  0.4436  0.6198

Space-group type   No. 12
Magnetic moment   0.00 μB per formula unit
Raw formation energy   -10.2 kJ/mol of atoms
DOS at the Fermi energy   0.236 states/eV per atom

***

# 8
# Tl3Ag6Te5

A geometry-optimized Tl3Ag6Te5 structure (PBE, Alexandria).

Unit cell a=4.5559 b=12.2189 c=14.0008 alpha=90.00 beta=90.00 gamma=90.00
Sites, in units of the cell vectors:
Tl  0.0000  0.2419  0.0000
Tl  0.0000  0.2558  0.3415
Tl  0.5000  0.7442  0.1585
Tl  0.0000  0.2558  0.6585
Tl  0.5000  0.7581  0.5000
Tl  0.5000  0.7442  0.8415
Ag  0.0000  0.6253  0.3115
Ag  0.5000  0.0010  0.3380
Ag  0.0000  0.9964  0.5000
Ag  0.5000  0.0036  0.0000
Ag  0.5000  0.0010  0.6620
Ag  0.0000  0.6253  0.6885
Ag  0.5000  0.3747  0.8115
Ag  0.5000  0.5009  0.0000
Ag  0.5000  0.3747  0.1885
Ag  0.0000  0.9990  0.8380
Ag  0.0000  0.4991  0.5000
Ag  0.0000  0.9990  0.1620
Te  0.5000  0.1447  0.5000
Te  0.0000  0.8553  0.0000
Te  0.0000  0.8546  0.3292
Te  0.5000  0.1454  0.1708
Te  0.0000  0.5072  0.1320
Te  0.5000  0.4928  0.3680
Te  0.5000  0.4928  0.6320
Te  0.0000  0.5072  0.8680
Te  0.5000  0.1454  0.8292
Te  0.0000  0.8546  0.6708

Space-group type   No. 59
Magnetic moment   0.00 μB per formula unit
Raw formation energy   -14.3 kJ/mol of atoms
DOS at the Fermi energy   0.229 states/eV per atom

***

# 9
# Tl3Ag2Te2

A geometry-optimized Tl3Ag2Te2 structure (PBE, Alexandria).

Unit cell a=6.3374 b=9.4383 c=14.0549 alpha=90.00 beta=90.00 gamma=90.00
Sites, in units of the cell vectors:
Tl  0.3651  0.2603  0.7500
Tl  0.8598  0.1107  0.3919
Tl  0.8598  0.3893  0.8919
Tl  0.3651  0.2397  0.2500
Tl  0.1402  0.8893  0.8919
Tl  0.8598  0.1107  0.1081
Tl  0.1402  0.6107  0.1081
Tl  0.1402  0.6107  0.3919
Tl  0.1402  0.8893  0.6081
Tl  0.6349  0.7397  0.2500
Tl  0.6349  0.7603  0.7500
Tl  0.8598  0.3893  0.6081
Te  0.8589  0.1008  0.7500
Te  0.3337  0.2500  0.5000
Te  0.1411  0.8992  0.2500
Te  0.6663  0.7500  0.0000
Te  0.1411  0.6008  0.7500
Te  0.3337  0.2500  0.0000
Te  0.6663  0.7500  0.5000
Te  0.8589  0.3992  0.2500
Ag  0.6018  0.0382  0.9102
Ag  0.3982  0.9618  0.0898
Ag  0.6018  0.4618  0.4102
Ag  0.3982  0.5382  0.5898
Ag  0.6018  0.0382  0.5898
Ag  0.3982  0.5382  0.9102
Ag  0.3982  0.9618  0.4102
Ag  0.6018  0.4618  0.0898

Space-group type   No. 57
Magnetic moment   0.00 μB per formula unit
Raw formation energy   -12.1 kJ/mol of atoms
DOS at the Fermi energy   0.252 states/eV per atom

***

# 10
# Tl2AgTe

A geometry-optimized Tl2AgTe structure (PBE, Alexandria).

Unit cell a=5.8634 b=5.8634 c=5.8634 alpha=130.54 beta=130.54 gamma=72.55
Sites, in units of the cell vectors:
Ag  0.5000  0.5000  0.0000
Te  0.7500  0.2500  0.5000
Tl  0.2500  0.7500  0.5000
Tl  0.0000  0.0000  0.0000

Space-group type   No. 119
Magnetic moment   0.00 μB per formula unit
Raw formation energy   2.1 kJ/mol of atoms
DOS at the Fermi energy   0.489 states/eV per atom
Relative energy among the computed polymorphs   36.4 kJ/mol of formula units

***

# 11
# TlAg2Te

A geometry-optimized TlAg2Te structure (PBE, Alexandria).

Unit cell a=3.7934 b=3.7934 c=6.8062 alpha=90.00 beta=90.00 gamma=90.00
Sites, in units of the cell vectors:
Tl  0.5000  0.5000  0.7500
Te  0.5000  0.5000  0.2500
Ag  0.0000  0.0000  0.0221
Ag  0.0000  0.0000  0.4779

Space-group type   No. 123
Magnetic moment   0.00 μB per formula unit
Raw formation energy   13.2 kJ/mol of atoms
DOS at the Fermi energy   0.447 states/eV per atom
Relative energy among the computed polymorphs   42.1 kJ/mol of formula units

***

# 12
# Tl2AgTe

A geometry-optimized Tl2AgTe structure (PBE, Alexandria).

Unit cell a=3.2892 b=4.3456 c=7.9191 alpha=90.00 beta=90.00 gamma=90.00
Sites, in units of the cell vectors:
Tl  0.0000  0.0000  0.0252
Tl  0.0000  0.0000  0.4748
Ag  0.5000  0.5000  0.2500
Te  0.5000  0.5000  0.7500

Space-group type   No. 47
Magnetic moment   0.00 μB per formula unit
Raw formation energy   3.7 kJ/mol of atoms
DOS at the Fermi energy   0.374 states/eV per atom
Relative energy among the computed polymorphs   42.6 kJ/mol of formula units